DFT (PBE-GGA) results for crystalline MnBeBr2 at its relaxed geometry.

VASP energy: -3.638 eV per atom
Uncorrected formation energy: 422 meV per atom
Crystal system: orthorhombic
Distance to the lowest polymorph of the same formula: 568.4 meV per atom

```
data_MnBeBr2
_chemical_formula_sum 'Mn1 Be1 Br2'
_cell_length_a 3.531
_cell_length_b 3.826
_cell_length_c 6.356
_cell_angle_alpha 90.00
_cell_angle_beta 90.00
_cell_angle_gamma 90.00
_space_group_name_H-M_alt 'P m m m'
_space_group_IT_number 47
_space_group_name_Hall '-P 2 2'
loop_
_atom_site_label
_atom_site_type_symbol
_atom_site_fract_x
_atom_site_fract_y
_atom_site_fract_z
Mn1 Mn 0.000 0.000 0.000
Be1 Be 0.500 0.000 0.500
Br1 Br 0.000 0.500 0.500
Br2 Br 0.500 0.500 0.000
```

DFT (PBE-GGA) results for crystalline Mn2BeBr at its relaxed geometry.

VASP energy: -5.058 eV per atom
Uncorrected formation energy: 876 meV per atom
Crystal system: cubic
Distance to the lowest polymorph of the same formula: 606.5 meV per atom

```
data_Mn2BeBr
_chemical_formula_sum 'Mn8 Be4 Br4'
_cell_length_a 6.153
_cell_length_b 6.153
_cell_length_c 6.153
_cell_angle_alpha 90.00
_cell_angle_beta 90.00
_cell_angle_gamma 90.00
_space_group_name_H-M_alt 'F -4 3 m'
_space_group_IT_number 216
_space_group_name_Hall 'F -4 2 3'
loop_
_atom_site_label
_atom_site_type_symbol
_atom_site_fract_x
_atom_site_fract_y
_atom_site_fract_z
Mn1 Mn 0.000 0.000 0.000
Mn2 Mn 0.250 0.250 0.250
Be1 Be 0.000 0.000 0.500
Br1 Br 0.250 0.250 0.750
```